First-principles (PBE-GGA) data for HoInRh after structural relaxation, as listed in Alexandria via LeMat-Bulk.

Output
Formation energy: -609 meV per atom
Total magnetic moment: 0.0 μB/cell

Cell lengths 5.4434, 4.8052, 5.4585 Å; angles 90.00, 106.07, 90.00 degrees
Space group P2_1/m (No. 11)
Symmetry-distinct sites (fractional):
Ho1 0.1094 0.2500 0.3115 x2
In1 0.4578 0.7500 0.1378 x2
Rh1 0.3515 0.7500 0.5999 x2


First-principles (PBE-GGA) data for AcScGe after structural relaxation, as listed in Alexandria via LeMat-Bulk.

Output
Formation energy: -515 meV per atom
Total magnetic moment: 0.0 μB/cell

Cell lengths 4.6825, 4.6825, 4.6028 Å; angles 90.00, 90.00, 120.00 degrees
Space group P-6m2 (No. 187)
Symmetry-distinct sites (fractional):
Ac1 0.0000 0.0000 0.0000 x1
Sc1 0.6667 0.3333 0.5000 x1
Ge1 0.3333 0.6667 0.5000 x1


First-principles (PBE-GGA) data for ScCd2Te after structural relaxation, as listed in Alexandria via LeMat-Bulk.

Output
E_form (uncorrected): -0.422 eV per atom
Total magnetic moment: 0.0 μB/cell

Cell lengths 3.8374, 3.8647, 6.5095 Å; angles 90.00, 90.00, 90.00 degrees
Space group Pmm2 (No. 25)
Symmetry-distinct sites (fractional):
Sc1 0.0000 0.0000 0.0000 x1
Cd1 0.0000 0.0000 0.4940 x1
Cd2 0.5000 0.5000 0.2841 x1
Te1 0.5000 0.5000 0.8152 x1


First-principles (PBE-GGA) data for LaNi4Ge2 after structural relaxation, as listed in Alexandria via LeMat-Bulk.

Output
Formation energy: -379 meV per atom
Total magnetic moment: 0.0 μB/cell

Cell lengths 16.8528, 4.0789, 6.4346 Å; angles 90.00, 90.00, 90.00 degrees
Space group Pnma (No. 62)
Symmetry-distinct sites (fractional):
La1 0.1394 0.2500 0.0149 x4
Ni1 0.0164 0.7500 0.1269 x4
Ni2 0.0630 0.2500 0.5262 x4
Ni3 0.1834 0.7500 0.6704 x4
Ni4 0.2192 0.7500 0.2863 x4
Ge1 0.0402 0.7500 0.7347 x4
Ge2 0.2078 0.2500 0.4742 x4


First-principles (PBE-GGA) data for BaBeGaGe2 after structural relaxation, as listed in Alexandria via LeMat-Bulk.

Output
Formation energy: 1498 meV per atom
Total magnetic moment: 0.0 μB/cell

Cell lengths 5.8656, 5.8656, 5.6235 Å; angles 90.00, 90.00, 90.00 degrees
Space group P4/mmm (No. 123)
Symmetry-distinct sites (fractional):
Ba1 0.0000 0.0000 0.0000 x1
Be1 0.0000 0.0000 0.5000 x1
Ga1 0.5000 0.5000 0.5000 x1
Ge1 0.0000 0.5000 0.0000 x2


First-principles (PBE-GGA) data for La6Tm5 after structural relaxation, as listed in Alexandria via LeMat-Bulk.

Output
Formation energy: 111 meV per atom
Total magnetic moment: 0.0 μB/cell

Cell lengths 10.0237, 16.1703, 5.6538 Å; angles 90.00, 124.29, 90.00 degrees
Space group C2/m (No. 12)
Symmetry-distinct sites (fractional):
La1 0.2093 0.0000 0.2095 x4
La2 0.2108 0.1411 0.7105 x8
Tm1 0.0000 0.2005 0.0000 x4
Tm2 0.0000 0.3382 0.5000 x4
Tm3 0.0000 0.5000 0.0000 x2


First-principles (PBE-GGA) data for TiVSbRu2 after structural relaxation, as listed in Alexandria via LeMat-Bulk.

Output
E_form (uncorrected): 1.590 eV per atom
Total magnetic moment: 0.5 μB/cell

Cell lengths 4.7309, 4.7309, 4.8817 Å; angles 90.00, 90.00, 90.00 degrees
Space group P4/mmm (No. 123)
Symmetry-distinct sites (fractional):
Ti1 0.0000 0.0000 0.0000 x1
V1 0.5000 0.5000 0.0000 x1
Sb1 0.0000 0.0000 0.5000 x1
Ru1 0.0000 0.5000 0.5000 x2


First-principles (PBE-GGA) data for NiPb after structural relaxation, as listed in Alexandria via LeMat-Bulk.

Output
Formation energy: 200 meV per atom
Total magnetic moment: 0.0 μB/cell

Cell lengths 9.7910, 9.7910, 3.6319 Å; angles 90.00, 90.00, 90.00 degrees
Space group I4/m (No. 87)
Symmetry-distinct sites (fractional):
Ni1 0.0860 0.4121 0.0000 x8
Pb1 0.1080 0.2110 0.5000 x8


First-principles (PBE-GGA) data for NiTe2I after structural relaxation, as listed in Alexandria via LeMat-Bulk.

Output
E_form (uncorrected): 0.769 eV per atom
Total magnetic moment: 0.8 μB/cell

Cell lengths 7.3655, 7.3655, 7.3655 Å; angles 90.00, 90.00, 90.00 degrees
Space group Fm-3m (No. 225)
Symmetry-distinct sites (fractional):
Ni1 0.0000 0.0000 0.0000 x4
Te1 0.2500 0.2500 0.2500 x8
I1 0.0000 0.0000 0.5000 x4


First-principles (PBE-GGA) data for Er7Ga2Sb2 after structural relaxation, as listed in Alexandria via LeMat-Bulk.

Output
E_form (uncorrected): -0.307 eV per atom
Total magnetic moment: 0.0 μB/cell

Cell lengths 7.6143, 10.6655, 7.7040 Å; angles 90.00, 90.00, 90.00 degrees
Space group Cmmm (No. 65)
Symmetry-distinct sites (fractional):
Er1 0.0000 0.0000 0.0000 x2
Er2 0.0000 0.5000 0.2830 x4
Er3 0.2500 0.2500 0.2938 x8
Ga1 0.1692 0.0000 0.5000 x4
Sb1 0.0000 0.2991 0.0000 x4


First-principles (PBE-GGA) data for ZnAsRu2 after structural relaxation, as listed in Alexandria via LeMat-Bulk.

Output
Formation energy: 205 meV per atom
Total magnetic moment: 0.0 μB/cell

Cell lengths 2.9954, 4.9687, 8.1042 Å; angles 90.00, 90.00, 90.00 degrees
Space group Cmmm (No. 65)
Symmetry-distinct sites (fractional):
Zn1 0.0000 0.0000 0.0000 x2
As1 0.0000 0.0000 0.5000 x2
Ru1 0.0000 0.5000 0.2647 x4


First-principles (PBE-GGA) data for AcTmNi4 after structural relaxation, as listed in Alexandria via LeMat-Bulk.

Output
Formation energy: -296 meV per atom
Total magnetic moment: 0.0 μB/cell

Cell lengths 7.3357, 7.3357, 7.3357 Å; angles 90.00, 90.00, 90.00 degrees
Space group F-43m (No. 216)
Symmetry-distinct sites (fractional):
Ac1 0.0000 0.0000 0.0000 x4
Tm1 0.2500 0.2500 0.7500 x4
Ni1 0.1236 0.1236 0.3764 x16


First-principles (PBE-GGA) data for Ti2BeCoH after structural relaxation, as listed in Alexandria via LeMat-Bulk.

Output
Calculated total energy: -0.45642 Ry/atom
Total magnetic moment: 0.6 μB/cell

Cell lengths 4.0436, 4.0436, 3.2563 Å; angles 90.00, 90.00, 90.00 degrees
Space group P4/mmm (No. 123)
Symmetry-distinct sites (fractional):
Ti1 0.0000 0.5000 0.0000 x2
Be1 0.0000 0.0000 0.5000 x1
Co1 0.5000 0.5000 0.5000 x1
H1 0.0000 0.0000 0.0000 x1


First-principles (PBE-GGA) data for TbHfNi2 after structural relaxation, as listed in Alexandria via LeMat-Bulk.

Output
Formation energy: -341 meV per atom
Total magnetic moment: 0.0 μB/cell

Cell lengths 4.6396, 4.6396, 3.2693 Å; angles 90.00, 90.00, 90.00 degrees
Space group P4/mmm (No. 123)
Symmetry-distinct sites (fractional):
Tb1 0.0000 0.0000 0.0000 x1
Hf1 0.5000 0.5000 0.0000 x1
Ni1 0.0000 0.5000 0.5000 x2


First-principles (PBE-GGA) data for Ac2YPu after structural relaxation, as listed in Alexandria via LeMat-Bulk.

Output
Formation energy: 199 meV per atom
Total magnetic moment: 6.6 μB/cell

Cell lengths 5.3900, 5.3900, 5.0705 Å; angles 90.00, 90.00, 90.00 degrees
Space group P4/mmm (No. 123)
Symmetry-distinct sites (fractional):
Ac1 0.0000 0.5000 0.0000 x2
Y1 0.0000 0.0000 0.5000 x1
Pu1 0.5000 0.5000 0.5000 x1


First-principles (PBE-GGA) data for Ca3CdSn after structural relaxation, as listed in Alexandria via LeMat-Bulk.

Output
Formation energy: -456 meV per atom
Total magnetic moment: 0.0 μB/cell

Cell lengths 5.3840, 21.4658, 5.3809 Å; angles 90.00, 90.00, 90.00 degrees
Space group Cmcm (No. 63)
Symmetry-distinct sites (fractional):
Ca1 0.0000 0.0692 0.2500 x4
Ca2 0.0000 0.2496 0.2500 x4
Ca3 0.0000 0.4301 0.2500 x4
Cd1 0.0000 0.1559 0.7500 x4
Sn1 0.0000 0.3402 0.7500 x4


First-principles (PBE-GGA) data for ScCo3Si after structural relaxation, as listed in Alexandria via LeMat-Bulk.

Output
E_form (uncorrected): 0.092 eV per atom
Total magnetic moment: 10.8 μB/cell

Cell lengths 5.9520, 11.9197, 4.3229 Å; angles 90.00, 90.00, 90.00 degrees
Space group Cmcm (No. 63)
Symmetry-distinct sites (fractional):
Sc1 0.0000 0.0973 0.2500 x4
Co1 0.0000 0.5000 0.0000 x4
Co2 0.1854 0.2900 0.7500 x8
Si1 0.0000 0.3268 0.2500 x4


First-principles (PBE-GGA) data for Ac2Mn2Pd15 after structural relaxation, as listed in Alexandria via LeMat-Bulk.

Output
Formation energy: -379 meV per atom
Total magnetic moment: 29.2 μB/cell

Cell lengths 9.2262, 9.2262, 13.8890 Å; angles 90.00, 90.00, 120.00 degrees
Space group R-3m (No. 166, hexagonal axes)
Symmetry-distinct sites (fractional):
Ac1 0.0000 0.0000 0.1560 x6
Mn1 0.0000 0.0000 0.4027 x6
Pd1 0.0000 0.2957 0.5000 x18
Pd2 0.0000 0.5000 0.0000 x9
Pd3 0.0020 0.5010 0.3467 x18


First-principles (PBE-GGA) data for BiSe2NF after structural relaxation, as listed in Alexandria via LeMat-Bulk.

Output
E_form (uncorrected): 0.915 eV per atom
Total magnetic moment: 1.5 μB/cell

Cell lengths 4.4222, 4.4222, 4.9182 Å; angles 90.00, 90.00, 90.00 degrees
Space group P4/mmm (No. 123)
Symmetry-distinct sites (fractional):
Bi1 0.0000 0.0000 0.0000 x1
Se1 0.0000 0.5000 0.5000 x2
N1 0.5000 0.5000 0.0000 x1
F1 0.5000 0.5000 0.5000 x1


First-principles (PBE-GGA) data for PuAlAu4 after structural relaxation, as listed in Alexandria via LeMat-Bulk.

Output
Formation energy: -224 meV per atom
Total magnetic moment: 5.5 μB/cell

Cell lengths 4.2985, 4.2985, 7.3772 Å; angles 90.00, 90.00, 90.00 degrees
Space group P4/mmm (No. 123)
Symmetry-distinct sites (fractional):
Pu1 0.0000 0.0000 0.0000 x1
Al1 0.5000 0.5000 0.5000 x1
Au1 0.0000 0.5000 0.2952 x4


First-principles (PBE-GGA) data for KWAu2 after structural relaxation, as listed in Alexandria via LeMat-Bulk.

Output
Formation energy: 1007 meV per atom
Total magnetic moment: 11.7 μB/cell

Cell lengths 5.3973, 5.3973, 18.1031 Å; angles 90.00, 90.00, 90.00 degrees
Space group I4_1/amd (No. 141, origin choice 2)
Symmetry-distinct sites (fractional):
K1 0.0000 0.2500 0.3750 x4
W1 0.0000 0.2500 0.8750 x4
Au1 0.0000 0.0000 0.0000 x8


First-principles (PBE-GGA) data for EuMgSiHg after structural relaxation, as listed in Alexandria via LeMat-Bulk.

Output
E_form (uncorrected): -0.315 eV per atom
Total magnetic moment: 27.8 μB/cell

Cell lengths 7.1903, 7.1903, 7.1903 Å; angles 90.00, 90.00, 90.00 degrees
Space group F-43m (No. 216)
Symmetry-distinct sites (fractional):
Eu1 0.0000 0.0000 0.0000 x4
Mg1 0.0000 0.0000 0.5000 x4
Si1 0.2500 0.2500 0.2500 x4
Hg1 0.2500 0.2500 0.7500 x4


First-principles (PBE-GGA) data for Zr2Ga4Pd3 after structural relaxation, as listed in Alexandria via LeMat-Bulk.

Output
Formation energy: -664 meV per atom
Total magnetic moment: 0.0 μB/cell

Cell lengths 5.6031, 14.8506, 7.3633 Å; angles 90.00, 90.00, 90.00 degrees
Space group Cmce (No. 64)
Symmetry-distinct sites (fractional):
Zr1 0.0000 0.0999 0.0979 x8
Ga1 0.0000 0.1744 0.4753 x8
Ga2 0.2500 0.0620 0.7500 x8
Pd1 0.0000 0.0000 0.5000 x4
Pd2 0.2500 0.2346 0.7500 x8


First-principles (PBE-GGA) data for LaYZnNi after structural relaxation, as listed in Alexandria via LeMat-Bulk.

Output
Formation energy: -270 meV per atom
Total magnetic moment: 0.0 μB/cell

Cell lengths 7.1595, 7.1595, 7.1595 Å; angles 90.00, 90.00, 90.00 degrees
Space group F-43m (No. 216)
Symmetry-distinct sites (fractional):
La1 0.0000 0.0000 0.0000 x4
Y1 0.0000 0.0000 0.5000 x4
Zn1 0.2500 0.2500 0.7500 x4
Ni1 0.2500 0.2500 0.2500 x4